(1)
{
  "formula": "Dy2ZnRu",
  "functional": "PBE-GGA",
  "state": "relaxed",
  "cell": [[-0.964, -3.733, -0.233], [1.051, -2.077, -3.082], [8.085, -4.289, 3.228]],
  "species": ["Dy", "Dy", "Ru", "Zn"],
  "fractional_positions": [[0.888, 0.888, 0.337], [0.112, 0.112, 0.663], [0.500, 0.500, 0.500], [0.000, 0.000, 0.000]]
}

***

(2)
{
  "formula": "Dy2ZnRu",
  "functional": "PBE-GGA",
  "state": "relaxed",
  "cell": [[3.445, 0.000, 0.000], [0.000, 3.445, 0.000], [0.000, 0.000, 7.228]],
  "species": ["Ru", "Dy", "Dy", "Zn"],
  "fractional_positions": [[0.500, 0.500, 0.000], [0.000, 0.000, 0.230], [0.000, 0.000, 0.770], [0.500, 0.500, 0.500]]
}

***

(3)
{
  "formula": "Dy2ZnRu",
  "functional": "PBE-GGA",
  "state": "relaxed",
  "cell": [[4.913, 0.000, 0.000], [2.456, 4.255, 0.000], [2.456, 1.418, 4.011]],
  "species": ["Dy", "Dy", "Ru", "Zn"],
  "fractional_positions": [[0.250, 0.250, 0.250], [0.750, 0.750, 0.750], [0.000, 0.000, 0.000], [0.500, 0.500, 0.500]]
}

***

Name the least stable of them. (1).

***

(1)
{
  "formula": "Dy4ZnRu",
  "functional": "PBE-GGA",
  "state": "relaxed",
  "cell": [[8.209, 0.000, 4.740], [2.736, 7.740, 4.740], [0.000, 0.000, 9.479]],
  "species": ["Ru", "Ru", "Ru", "Ru", "Zn", "Zn", "Zn", "Zn", "Dy", "Dy", "Dy", "Dy", "Dy", "Dy", "Dy", "Dy", "Dy", "Dy", "Dy", "Dy", "Dy", "Dy", "Dy", "Dy"],
  "fractional_positions": [[0.611, 0.168, 0.611], [0.168, 0.611, 0.611], [0.611, 0.611, 0.168], [0.611, 0.611, 0.611], [0.173, 0.173, 0.481], [0.173, 0.481, 0.173], [0.173, 0.173, 0.173], [0.481, 0.173, 0.173], [0.942, 0.942, 0.558], [0.188, 0.812, 0.188], [0.188, 0.812, 0.812], [0.942, 0.558, 0.942], [0.812, 0.188, 0.812], [0.812, 0.812, 0.188], [0.188, 0.188, 0.812], [0.558, 0.558, 0.942], [0.942, 0.558, 0.558], [0.558, 0.942, 0.558], [0.812, 0.188, 0.188], [0.400, 0.800, 0.400], [0.558, 0.942, 0.942], [0.800, 0.400, 0.400], [0.400, 0.400, 0.800], [0.400, 0.400, 0.400]]
}

***

(2)
{
  "formula": "Dy4ZnRu",
  "functional": "PBE-GGA",
  "state": "relaxed",
  "cell": [[-4.390, 1.064, 1.760], [0.264, -3.824, 2.969], [2.900, 3.955, 4.860]],
  "species": ["Zn", "Ru", "Dy", "Dy", "Dy", "Dy"],
  "fractional_positions": [[0.501, 0.497, 0.998], [0.001, 0.997, 0.498], [0.001, 0.497, 0.259], [0.502, 0.998, 0.738], [0.002, 0.498, 0.738], [0.501, 0.997, 0.259]]
}

***

Name the least stable of them. (2).

***

(1)
{
  "formula": "DyZr2Ru",
  "functional": "PBE-GGA",
  "state": "relaxed",
  "cell": [[-1.079, -0.586, 3.034], [1.478, -2.256, 1.856], [6.440, 6.160, 5.246]],
  "species": ["Dy", "Ru", "Zr", "Zr"],
  "fractional_positions": [[0.000, 0.000, 0.000], [0.500, 0.500, 0.500], [0.896, 0.896, 0.311], [0.104, 0.104, 0.689]]
}

***

(2)
{
  "formula": "DyZr2Ru",
  "functional": "PBE-GGA",
  "state": "relaxed",
  "cell": [[-1.233, -2.312, 2.028], [2.459, 0.571, 2.146], [-4.460, 5.561, 3.631]],
  "species": ["Dy", "Zr", "Zr", "Ru"],
  "fractional_positions": [[0.500, 0.500, 0.500], [0.000, 0.000, 0.801], [0.000, 0.000, 0.199], [0.500, 0.500, 0.000]]
}

***

Name the least stable of them. (1).

***

(1)
{
  "formula": "Dy3S4",
  "functional": "PBE-GGA",
  "state": "relaxed",
  "cell": [[3.930, 0.000, 0.000], [0.000, 6.399, -2.063], [0.000, -0.070, 6.723]],
  "species": ["Dy", "Dy", "Dy", "S", "S", "S", "S"],
  "fractional_positions": [[0.000, 0.500, 0.000], [0.500, 0.000, 0.000], [0.000, 0.000, 0.500], [0.000, 0.759, 0.759], [0.500, 0.747, 0.253], [0.500, 0.253, 0.747], [0.000, 0.241, 0.241]]
}

***

(2)
{
  "formula": "Dy3S4",
  "functional": "PBE-GGA",
  "state": "relaxed",
  "cell": [[-4.965, 0.330, 5.192], [4.975, -4.890, 1.748], [3.122, 6.435, -0.744]],
  "species": ["S", "S", "S", "S", "S", "S", "S", "S", "Dy", "Dy", "Dy", "Dy", "Dy", "Dy"],
  "fractional_positions": [[0.500, 0.000, 0.643], [0.357, 0.357, 0.357], [0.643, 0.500, 0.000], [0.143, 0.500, 0.000], [0.000, 0.643, 0.500], [0.500, 0.000, 0.143], [0.857, 0.857, 0.857], [0.000, 0.143, 0.500], [0.625, 0.750, 0.375], [0.125, 0.875, 0.250], [0.875, 0.250, 0.125], [0.375, 0.625, 0.750], [0.750, 0.375, 0.625], [0.250, 0.125, 0.875]]
}

***

(3)
{
  "formula": "Dy3S4",
  "functional": "PBE-GGA",
  "state": "relaxed",
  "cell": [[3.944, 0.000, 0.000], [0.000, 6.888, -0.010], [-1.972, -3.168, 6.423]],
  "species": ["Dy", "Dy", "Dy", "S", "S", "S", "S"],
  "fractional_positions": [[0.273, 0.280, 0.545], [0.000, 0.000, 0.000], [0.727, 0.720, 0.455], [0.125, 0.438, 0.250], [0.639, 0.003, 0.277], [0.361, 0.997, 0.723], [0.875, 0.562, 0.750]]
}

***

Name the least stable of them. (2).